# 1
4
Lattice="-6.960 -7.167 0.179 -5.529 -7.790 2.930 -7.797 -5.591 2.790" Properties=species:S:1:pos:R:3 comment="LiSc2Be (PBE, optimized geometry)" crystal_system=trigonal pbc="T T T"
Sc -18.211 -18.445 5.295
Sc -2.075 -2.102 0.603
Be -10.143 -10.274 2.949
Li 0.000 0.000 0.000

=====

# 2
3
Lattice="4.395 0.000 0.000 2.198 3.806 0.000 2.198 1.269 3.589" Properties=species:S:1:pos:R:3 comment="LiScBe (PBE, optimized geometry)" crystal_system=cubic de_polymorph_mev_per_atom=658 pbc="T T T"
Sc 6.593 3.806 2.692
Li 4.395 2.538 1.794
Be 0.000 0.000 0.000

=====

# 3
5
Lattice="-2.790 -2.607 -1.063 0.644 -2.048 3.332 -2.741 2.173 1.865" Properties=species:S:1:pos:R:3 comment="LiScBe3 (PBE, optimized geometry)" crystal_system=cubic de_polymorph_mev_per_atom=0 pbc="T T T"
Be 0.322 -1.024 1.666
Be -1.370 1.086 0.933
Be -1.395 -1.304 -0.531
Sc -2.443 -1.241 2.067
Li 0.000 0.000 0.000

=====

Formation enthalpy at 0 K readings, ordered: 0.286, 0.863, 0.443 eV/atom
Size of the total moment readings, ordered: 0.000, 0.001, 0.000 μB per atom
Density readings, ordered: 2.07, 1.68, 2.10 g cm⁻³